DFT (PBE) results for a relaxed structure of TmNpBi2.

Cell lengths 4.0575, 5.2998, 5.2998 Å; angles 90.00, 90.00, 90.00 degrees
Site moments in Bohr magnetons follow the coordinates.
Positions (direct):
Bi  0.0000  0.0000  0.5000  -0.09
Bi  0.0000  0.5000  0.0000  -0.09
Tm  0.5000  0.5000  0.5000  0.32
Np  0.5000  0.0000  0.0000  4.11

Results
distance to the lowest polymorph of the same formula	0.157	eV per atom
calculated volume	28.5	Å³/atom
calculated formation energy	-170.0	meV/atom